# 1
A geometry-optimized Mg2Sc3Os structure, computed with PBE.

```
Mg2Sc3Os
1.0
-2.738 -1.183 -3.645
3.678 -4.827 -4.238
-2.886 -5.737 4.030
Sc Os Mg
6 2 4
Direct
0.825 0.349 0.795 Sc
0.175 0.651 0.795 Sc
0.825 0.349 0.205 Sc
0.500 0.000 0.215 Sc
0.175 0.651 0.205 Sc
0.500 0.000 0.785 Sc
0.339 0.323 0.000 Os
0.661 0.677 0.000 Os
0.334 0.331 0.500 Mg
0.000 0.000 0.000 Mg
0.000 0.000 0.500 Mg
0.666 0.669 0.500 Mg
```

* magnetization: 0.000 μB/atom
* volume: 251 Å³/cell
* calculated formation energy: -263 meV per atom
* DFT total energy: -70.0 eV per cell



# 2
A geometry-optimized Ta2Ti5Nb4 structure, computed with PBE.

```
Ta2Ti5Nb4
1.0
3.320 0.113 0.035
-0.235 7.110 -1.405
1.596 -0.451 8.370
Nb Ti Ta
4 5 2
Direct
0.950 0.728 0.099 Nb
0.137 0.806 0.727 Nb
0.863 0.194 0.273 Nb
0.050 0.272 0.901 Nb
0.680 0.073 0.640 Ti
0.773 0.640 0.454 Ti
0.320 0.927 0.360 Ti
0.227 0.360 0.546 Ti
0.500 0.000 0.000 Ti
0.409 0.455 0.182 Ta
0.591 0.545 0.818 Ta
```

* magnetization: 0.000 μB/atom
* volume: 195 Å³/cell
* polymorph energy (0 for the lowest one): 0 meV per atom
* calculated formation energy: 40 meV per atom
* DFT total energy: -103.0 eV per cell



# 3
A geometry-optimized AgOsPb2 structure, computed with PBE.

```
AgOsPb2
1.0
-1.058 0.644 2.948
-1.668 -2.728 -0.003
7.018 -4.293 3.456
Pb Os Ag
2 1 1
Direct
0.000 0.000 0.935 Pb
0.500 0.500 0.300 Pb
0.500 0.500 0.728 Os
0.000 0.000 0.537 Ag
```

* magnetization: 0.000 μB/atom
* volume: 91 Å³/cell
* polymorph energy (0 for the lowest one): 38 meV per atom
* calculated formation energy: 640 meV per atom
* DFT total energy: -18.9 eV per cell



# 4
A geometry-optimized Ac8CuIr4 structure, computed with PBE.

```
Ac8CuIr4
1.0
4.345 0.000 0.939
1.956 10.861 1.472
-0.072 0.156 10.854
Ac Ir Cu
8 4 1
Direct
0.858 0.590 0.695 Ac
0.212 0.919 0.657 Ac
0.168 0.647 0.017 Ac
0.540 0.256 0.664 Ac
0.459 0.727 0.354 Ac
0.786 0.067 0.361 Ac
0.130 0.405 0.335 Ac
0.832 0.337 0.000 Ac
0.161 0.170 0.508 Ir
0.840 0.817 0.503 Ir
0.355 0.450 0.840 Ir
0.645 0.528 0.182 Ir
0.660 0.819 0.862 Cu
```

* magnetization: 0.000 μB/atom
* volume: 512 Å³/cell
* calculated formation energy: -467 meV per atom
* DFT total energy: -78.5 eV per cell



# 5
A geometry-optimized TbCe2ScP4 structure, computed with PBE.

```
TbCe2ScP4
1.0
4.003 0.000 0.000
0.000 6.892 -0.124
0.000 2.437 6.484
P Ce Tb Sc
4 2 1 1
Direct
0.500 0.737 0.262 P
0.500 0.263 0.738 P
0.000 0.743 0.745 P
0.000 0.257 0.255 P
0.000 0.000 0.000 Ce
0.500 0.000 0.500 Ce
0.500 0.500 0.000 Tb
0.000 0.500 0.500 Sc
```

* magnetization: 0.117 μB/atom
* volume: 180 Å³/cell
* calculated formation energy: -1506 meV per atom
* DFT total energy: -56.5 eV per cell



# 6
A geometry-optimized Nb2IrS6 structure, computed with PBE.

```
Nb2IrS6
1.0
-4.849 2.582 -1.846
-0.110 -3.505 -4.615
-5.827 -7.029 5.477
Nb Ir S
4 2 12
Direct
0.500 0.500 0.150 Nb
0.500 0.500 0.850 Nb
0.000 0.000 0.650 Nb
0.000 0.000 0.350 Nb
0.000 0.000 0.000 Ir
0.500 0.500 0.500 Ir
0.191 0.809 0.169 S
0.309 0.309 0.331 S
0.691 0.691 0.669 S
0.284 0.284 0.000 S
0.784 0.216 0.500 S
0.191 0.809 0.831 S
0.809 0.191 0.831 S
0.309 0.309 0.669 S
0.216 0.784 0.500 S
0.716 0.716 0.000 S
0.691 0.691 0.331 S
0.809 0.191 0.169 S
```

* magnetization: 0.000 μB/atom
* volume: 358 Å³/cell
* ΔE_f (raw): -657 meV/atom
* DFT total energy: -119.4 eV per cell